Record 1
Here is a relaxed structure of Sr3Ag2Sn7 from Alexandria. Energies are from PBE-GGA.

POSCAR file:
```
Sr3Ag2Sn7
1.0
4.7978 0.0000 0.0000
0.0000 4.8006 0.0000
-2.3679 0.0000 15.0586
Sr Ag Sn
3 2 7
direct
0.0000 0.0000 0.0000
0.3195 0.5000 0.6391
0.6805 0.5000 0.3609
0.1369 0.0000 0.2685
0.8631 0.0000 0.7315
0.0756 0.5000 0.1649
0.2246 0.0000 0.4485
0.4152 0.0000 0.8339
0.5000 0.5000 0.0000
0.5848 0.0000 0.1661
0.7754 0.0000 0.5515
0.9244 0.5000 0.8351
```

E in eV/atom: -3.62
Calculated formation energy in eV per atom: -0.39
V in Å³/f.u.: 347
SG: P2/m, No. 10
Mass density in g cm⁻³: 6.3
Total moment in μB per formula unit: 0.000

Record 2
Here is a relaxed structure of SmHf2PdN4 from Alexandria. Energies are from PBE-GGA.

POSCAR file:
```
SmHf2PdN4
1.0
1.6303 -5.5730 0.0000
1.6303 5.5730 0.0000
0.0000 0.0000 11.5531
Sm Hf Pd N
2 4 2 8
direct
0.1213 0.8787 0.7500
0.8787 0.1213 0.2500
0.3683 0.6317 0.5502
0.3683 0.6317 0.9498
0.6317 0.3683 0.0502
0.6317 0.3683 0.4498
0.1429 0.8571 0.2500
0.8571 0.1429 0.7500
0.0000 0.0000 0.0000
0.0000 0.0000 0.5000
0.2668 0.7332 0.1030
0.2668 0.7332 0.3970
0.4695 0.5305 0.7500
0.5305 0.4695 0.2500
0.7332 0.2668 0.6030
0.7332 0.2668 0.8970
```

E in eV/atom: -9.01
V in Å³/f.u.: 105
SG: Cmcm, No. 63
Mass density in g cm⁻³: 10.6
Formation energy from raw total energies in meV/atom: -1119
Total moment in μB per formula unit: 0.000

Record 3
Here is a relaxed structure of RuPt2 from Alexandria. Energies are from PBE-GGA.

POSCAR file:
```
RuPt2
1.0
5.0872 -1.3795 0.0000
5.0872 1.3795 0.0000
-3.7251 0.0000 6.5420
Ru Pt
2 4
direct
0.1326 0.1326 0.1599
0.8674 0.8674 0.8401
0.1431 0.1431 0.5305
0.4030 0.4030 0.1705
0.5970 0.5970 0.8295
0.8569 0.8569 0.4695
```

E in eV/atom: -7.02
Calculated formation energy in eV per atom: 0.10
V in Å³/f.u.: 46
SG: C2/m, No. 12
Mass density in g cm⁻³: 17.8
Total moment in μB per formula unit: 0.000

Record 4
Here is a relaxed structure of KNb2O from Alexandria. Energies are from PBE-GGA.

POSCAR file:
```
KNb2O
1.0
-3.2876 3.2876 4.6514
3.2876 -3.2876 4.6514
3.2876 3.2876 -4.6514
K Nb O
2 4 2
direct
0.0000 0.0000 0.0000
0.7500 0.2500 0.5000
0.3742 0.1250 0.7492
0.3750 0.6258 0.7508
0.3758 0.6250 0.2508
0.8750 0.6242 0.2492
0.2500 0.7500 0.5000
0.5000 0.5000 0.0000
```

E in eV/atom: -6.53
V in Å³/f.u.: 101
SG: I-42d, No. 122
Mass density in g cm⁻³: 4.0
Formation energy from raw total energies in meV/atom: 24
Total moment in μB per formula unit: 0.000

Record 5
Here is a relaxed structure of LaFeSi2W from Alexandria. Energies are from PBE-GGA.

POSCAR file:
```
LaFeSi2W
1.0
4.7437 0.0000 0.0000
0.0000 4.7437 0.0000
0.0000 0.0000 5.3886
La Fe Si W
1 1 2 1
direct
0.0000 0.0000 0.0000
0.5000 0.5000 0.0000
0.0000 0.5000 0.5000
0.5000 0.0000 0.5000
0.0000 0.0000 0.5000
```

E in eV/atom: -6.34
V in Å³/f.u.: 121
SG: P4/mmm, No. 123
Mass density in g cm⁻³: 6.0
Formation energy from raw total energies in meV/atom: 1096
Total moment in μB per formula unit: 0.109
Distance to the lowest polymorph of the same formula in meV per atom: 0

Record 6
Here is a relaxed structure of NiTeP2Pt from Alexandria. Energies are from PBE-GGA.

POSCAR file:
```
NiTeP2Pt
1.0
3.7677 0.0000 0.0000
-1.8838 3.2629 0.0000
0.0000 0.0000 7.8956
Ni Te P Pt
1 1 2 1
direct
0.0000 0.0000 0.0000
0.0000 0.0000 0.6800
0.6667 0.3333 0.0658
0.6667 0.3333 0.3419
0.3333 0.6667 0.4758
```

E in eV/atom: -5.43
V in Å³/f.u.: 97
SG: P3m1, No. 156
Mass density in g cm⁻³: 7.6
Formation energy from raw total energies in meV/atom: -272
Total moment in μB per formula unit: 0.000
Distance to the lowest polymorph of the same formula in meV per atom: 28